(1)
The following is a GGA-PBE calculation of crystalline Cu3Ag2 at its relaxed geometry, from the Open Quantum Materials Database.

Cell: 8.989 8.989 5.836 Å, 98.88 98.88 17.87°
Atoms (fractional coordinates):
Ag (0.587, 0.587, 0.024)
Ag (0.196, 0.196, 0.341)
Ag (0.804, 0.804, 0.659)
Ag (0.413, 0.413, 0.976)
Cu (0.801, 0.801, 0.144)
Cu (0.006, 0.006, 0.295)
Cu (0.399, 0.399, 0.430)
Cu (0.601, 0.601, 0.570)
Cu (0.994, 0.994, 0.705)
Cu (0.199, 0.199, 0.856)

formation energy from the elements = 92 meV per atom
VASP energy = -3.268 eV per atom
distance to the lowest polymorph of the same formula = 50 meV per atom

***

(2)
The following is a GGA-PBE calculation of crystalline CuAg at its relaxed geometry, from the Open Quantum Materials Database.

Cell: 4.661 2.827 11.308 Å, 90.00 92.34 90.00°
Atoms (fractional coordinates):
Ag (0.000, 0.000, 0.000)
Ag (0.871, 0.500, 0.210)
Ag (0.315, 0.500, 0.392)
Ag (0.685, 0.500, 0.608)
Ag (0.129, 0.500, 0.790)
Cu (0.500, 0.500, 0.000)
Cu (0.382, 0.000, 0.186)
Cu (0.812, 0.000, 0.411)
Cu (0.188, 0.000, 0.589)
Cu (0.618, 0.000, 0.814)

formation energy from the elements = 96 meV per atom
VASP energy = -3.175 eV per atom

***

Question: Look up the VASP energy of the second one.
Answer: -3.175 eV per atom

***

Question: The highest VASP energy belongs to which entry?
Answer: CuAg

***

Question: Which of these has the lowest formation energy from the elements?
Answer: Cu3Ag2

***

Question: Which of these has the highest formation energy from the elements?
Answer: CuAg